IrIN2 | PBE-GGA | optimized geometry

Unit cell a=7.2971 b=7.2971 c=7.2971 alpha=25.28 beta=25.28 gamma=25.28
Sites, in units of the cell vectors:
I: 0.5000 0.5000 0.5000
Ir: 0.0000 0.0000 0.0000
N: 0.9131 0.9131 0.9131
N: 0.0869 0.0869 0.0869

Results
Size of the total moment (Bohr magnetons per cell): 0.0
Raw total energy (eV/atom): -5.05
Energy above the most stable polymorph in this dataset (eV/atom): 0.746
Theoretical density (g cm⁻³): 9.25
Formation energy (no corrections) (meV per atom): 1711
Symmetry: R-3m (166)
Fermi-level density of states (states/eV per cell): 2.98